(1)
VASP calculation (PBE) on Y2AlPt2 after structural relaxation.

Cell: 5.5659 5.5659 7.6139 Å, 90.00 90.00 90.00°
Closest atoms and distances in Å follow each position.
Space group I4/mmm (No. 139)
Symmetry-distinct sites (fractional):
1 Y 0.0000 0.5000 0.2500  4 Pt 2.85
2 Al 0.0000 0.0000 0.0000  2 Pt 2.50
3 Pt 0.0000 0.0000 0.3282  1 Al 2.50, 1 Pt 2.62

Output
Crystal system: tetragonal
Energy relative to the elements (eV/atom): -0.852
Total energy (eV/atom): -6.6022

---

(2)
VASP calculation (PBE) on Y2Al3Pt4 after structural relaxation.

Cell: 5.5920 15.2718 7.6093 Å, 90.00 90.00 90.00°
Closest atoms and distances in Å follow each position.
Space group Cmce (No. 64)
Symmetry-distinct sites (fractional):
1 Y 0.0000 0.1063 0.0924  8 Pt 3.04-3.34, 4 Al 3.13-3.31
2 Al 0.0000 0.0000 0.5000  6 Pt 2.53-2.81
3 Al 0.2500 0.2281 0.7500  5 Pt 2.57-2.62, 2 Al 2.80
4 Pt 0.0000 0.1832 0.4729  5 Al 2.58-2.81
5 Pt 0.2500 0.0600 0.7500  3 Al 2.53-2.57, 2 Pt 2.80

Output
Crystal system: orthorhombic
Energy relative to the elements (eV/atom): -1.188
Total energy (eV/atom): -6.5565

---

(3)
VASP calculation (PBE) on YAl3Pt2 after structural relaxation.

Cell: 16.5950 4.1454 10.0169 Å, 90.00 107.69 90.00°
Closest atoms and distances in Å follow each position.
Space group C2/m (No. 12)
Symmetry-distinct sites (fractional):
1 Y 0.0000 0.0000 0.0000  6 Pt 3.13-3.15, 6 Al 3.19-3.39
2 Y 0.1567 0.0000 0.7054  9 Al 3.17-3.47, 6 Pt 3.21-3.24
3 Al 0.0000 0.5000 0.5000  4 Pt 2.50-2.71, 4 Al 2.75
4 Al 0.0421 0.0000 0.3530  4 Pt 2.54-2.63, 3 Al 2.75-2.78
5 Al 0.1274 0.5000 0.1995  4 Pt 2.49-2.63, 1 Al 2.71
6 Al 0.1738 0.5000 0.9628  4 Pt 2.56-2.61, 1 Al 2.71
7 Al 0.2151 0.0000 0.3907  4 Pt 2.44-2.60
8 Pt 0.0268 0.5000 0.7810  5 Al 2.54-2.71
9 Pt 0.1395 0.5000 0.4535  7 Al 2.44-2.63
10 Pt 0.1974 0.0000 0.1287  6 Al 2.55-2.61

Output
Crystal system: monoclinic
Energy relative to the elements (eV/atom): -1.037
Total energy (eV/atom): -5.9997

---

(4)
VASP calculation (PBE) on YAlPt after structural relaxation.

Cell: 7.0361 4.2893 11.8891 Å, 90.00 90.68 90.00°
Closest atoms and distances in Å follow each position.
Space group P2_1/m (No. 11)
Symmetry-distinct sites (fractional):
1 Y 0.0224 0.2500 0.3741  5 Pt 2.94-3.07, 4 Al 3.17-3.29
2 Y 0.1524 0.2500 0.0804  5 Pt 2.95-3.08, 3 Al 3.19-3.22
3 Y 0.4739 0.7500 0.7073  5 Pt 2.80-3.03, 1 Al 3.10
4 Al 0.1449 0.2500 0.7968  4 Pt 2.68-2.84, 1 Al 2.89
5 Al 0.3496 0.7500 0.4564  4 Pt 2.60-2.66
6 Al 0.4943 0.7500 0.0846  4 Pt 2.59-2.70, 1 Al 2.89
7 Pt 0.2331 0.7500 0.2444  3 Al 2.64-2.70, 2 Y 2.95
8 Pt 0.2730 0.7500 0.9092  5 Al 2.59-2.70, 1 Y 2.80
9 Pt 0.2758 0.2500 0.5722  4 Al 2.60-2.84

Output
Crystal system: monoclinic
Energy relative to the elements (eV/atom): -1.141
Total energy (eV/atom): -6.5565

---

(5)
VASP calculation (PBE) on YAl2Pt4 after structural relaxation.

Cell: 16.4836 4.2198 7.0168 Å, 90.00 90.00 90.00°
Closest atoms and distances in Å follow each position.
Space group Pnma (No. 62)
Symmetry-distinct sites (fractional):
1 Y 0.1463 0.2500 0.0570  10 Pt 2.92-3.20, 2 Al 3.21
2 Al 0.0249 0.7500 0.2511  7 Pt 2.50-2.63
3 Al 0.1958 0.2500 0.6049  6 Pt 2.54-2.65
4 Pt 0.0432 0.7500 0.8933  3 Al 2.53-2.60
5 Pt 0.0568 0.2500 0.4481  4 Al 2.50-2.58
6 Pt 0.1742 0.7500 0.3828  4 Al 2.63-2.90, 4 Pt 2.88-2.90
7 Pt 0.2117 0.7500 0.8068  3 Al 2.55-2.59, 1 Pt 2.84

Output
Crystal system: orthorhombic
Energy relative to the elements (eV/atom): -1.017
Total energy (eV/atom): -6.4612

---

(6)
VASP calculation (PBE) on YAl2Pt2 after structural relaxation.

Cell: 4.0276 4.0276 11.5568 Å, 90.00 90.00 90.00°
Closest atoms and distances in Å follow each position.
Space group I4/mmm (No. 139)
Symmetry-distinct sites (fractional):
1 Y 0.0000 0.0000 0.0000  8 Pt 3.16, 8 Al 3.52
2 Al 0.0000 0.5000 0.2500  4 Pt 2.53
3 Pt 0.0000 0.0000 0.3823  4 Al 2.53, 1 Pt 2.72

Output
Crystal system: tetragonal
Energy relative to the elements (eV/atom): -1.135
Total energy (eV/atom): -6.3408

---

(7)
VASP calculation (PBE) on Y2Al2Pt after structural relaxation.

Cell: 3.6484 3.6484 17.4006 Å, 90.00 90.00 90.00°
Closest atoms and distances in Å follow each position.
Space group I4/mmm (No. 139)
Symmetry-distinct sites (fractional):
1 Y 0.0000 0.0000 0.0951  4 Pt 3.06, 4 Al 3.26, 1 Y 3.31
2 Al 0.0000 0.5000 0.2500  4 Al 2.58
3 Pt 0.0000 0.0000 0.5000  8 Y 3.06

Output
Crystal system: tetragonal
E above lowest polymorph (kJ/mol of formula units): 145
Energy relative to the elements (eV/atom): -0.437
Total energy (eV/atom): -5.7275

---

(8)
VASP calculation (PBE) on YAlPt6 after structural relaxation.

Cell: 4.0544 4.0544 7.9614 Å, 90.00 90.00 90.00°
Closest atoms and distances in Å follow each position.
Space group P4/mmm (No. 123)
Symmetry-distinct sites (fractional):
1 Y 0.0000 0.0000 0.0000  12 Pt 2.87-2.94
2 Al 0.0000 0.0000 0.5000  12 Pt 2.74-2.87
3 Pt 0.0000 0.5000 0.2677  2 Al 2.74, 8 Pt 2.74-2.94, 2 Y 2.94
4 Pt 0.5000 0.5000 0.0000  4 Y 2.87, 8 Pt 2.94
5 Pt 0.5000 0.5000 0.5000  8 Pt 2.74, 4 Al 2.87

Output
Crystal system: tetragonal
Energy relative to the elements (eV/atom): -0.835
Total energy (eV/atom): -6.6416

---

(9)
VASP calculation (PBE) on Y2Al3Pt after structural relaxation.

Cell: 5.5381 5.5381 13.2258 Å, 90.00 90.00 120.00°
Closest atoms and distances in Å follow each position.
Space group R-3m (No. 166, hexagonal axes)
Symmetry-distinct sites (fractional):
1 Y 0.0000 0.0000 0.1253  9 Al 3.18-3.23, 3 Pt 3.24, 4 Y 3.31-3.38
2 Al 0.0000 0.5000 0.0000  2 Pt 2.72, 4 Al 2.77
3 Pt 0.0000 0.0000 0.5000  6 Al 2.72

Output
Crystal system: trigonal
Energy relative to the elements (eV/atom): -0.810
Total energy (eV/atom): -5.8431

---

(10)
VASP calculation (PBE) on YAlPt after structural relaxation.

Cell: 6.4958 6.4958 6.4958 Å, 90.00 90.00 90.00°
Closest atoms and distances in Å follow each position.
Space group F-43m (No. 216)
Symmetry-distinct sites (fractional):
1 Y 0.0000 0.0000 0.0000  4 Pt 2.81
2 Al 0.0000 0.0000 0.5000  4 Pt 2.81
3 Pt 0.2500 0.2500 0.7500  4 Al 2.81, 4 Y 2.81

Output
Crystal system: cubic
Energy relative to the elements (eV/atom): -0.868
Total energy (eV/atom): -6.2842

---

(11)
VASP calculation (PBE) on YAlPt after structural relaxation.

Cell: 6.6335 6.6335 6.6335 Å, 90.00 90.00 90.00°
Closest atoms and distances in Å follow each position.
Space group F-43m (No. 216)
Symmetry-distinct sites (fractional):
1 Y 0.0000 0.0000 0.0000  4 Al 2.87, 4 Pt 2.87
2 Al 0.2500 0.2500 0.7500  4 Y 2.87
3 Pt 0.2500 0.2500 0.2500  4 Y 2.87

Output
Crystal system: cubic
Energy relative to the elements (eV/atom): -0.152
Total energy (eV/atom): -5.5675

---

(12)
VASP calculation (PBE) on YAl2Pt after structural relaxation.

Cell: 4.0671 4.2165 4.3759 Å, 90.00 90.00 90.00°
Closest atoms and distances in Å follow each position.
Space group Pmmm (No. 47)
Symmetry-distinct sites (fractional):
1 Y 0.0000 0.0000 0.0000  4 Pt 2.93, 8 Al 2.99-3.04
2 Al 0.0000 0.5000 0.5000  4 Al 2.93, 4 Pt 2.99, 4 Y 3.04
3 Al 0.5000 0.0000 0.5000  4 Al 2.93, 4 Y 2.99, 4 Pt 3.04
4 Pt 0.5000 0.5000 0.0000  4 Y 2.93, 8 Al 2.99-3.04

Output
Crystal system: orthorhombic
Energy relative to the elements (eV/atom): -0.674
Total energy (eV/atom): -5.6718

---

| no. | mass density (g/cm3) |
| --- | --- |
| 1 | 8.377 |
| 2 | 10.621 |
| 3 | 8.499 |
| 4 | 8.635 |
| 5 | 12.564 |
| 6 | 9.443 |
| 7 | 6.121 |
| 8 | 16.322 |
| 9 | 6.435 |
| 10 | 7.536 |
| 11 | 7.076 |
| 12 | 7.478 |